Record 1
HfMgTl: relaxed, PBE.

Properties
Its space group is No. 63. The theoretical density is 9.72 Mg/m³. The value obtained for the volume is 139.12 Å³ per cell. For the total energy, the calculation gives -4.3625 eV/atom. The calculation puts the formation energy from the elements at 0.8 eV/f.u.

Cell lengths 5.4740, 3.1002, 8.3431 Å; angles 100.71, 90.00, 90.00 degrees
Sites, in units of the cell vectors:
1 Hf 0.2500 0.8249 0.6499
2 Hf 0.7500 0.1751 0.3501
3 Mg 0.0000 0.0000 0.0000
4 Mg 0.5000 0.0000 0.0000
5 Tl 0.2500 0.6464 0.2928
6 Tl 0.7500 0.3536 0.7072

=====

Record 2
HfMg2Tl: relaxed, PBE.

Properties
Its space group is No. 166. The theoretical density is 7.39 Mg/m³. The value obtained for the volume is 97.00 Å³ per cell. For the total energy, the calculation gives -3.5403 eV/atom. The calculation puts the formation energy from the elements at 1.3 eV/f.u. The offset from the most stable computed form is 1.28 eV per formula unit.

Cell lengths 3.1728, 3.1728, 11.2769 Å; angles 81.91, 81.91, 60.00 degrees
Sites, in units of the cell vectors:
1 Tl 0.5000 0.5000 0.5000
2 Hf 0.0000 0.0000 0.0000
3 Mg 0.0896 0.0896 0.7311
4 Mg 0.9104 0.9104 0.2689

=====

Record 3
HfMgTl: relaxed, PBE.

Properties
Its space group is No. 139. The theoretical density is 9.50 Mg/m³. The value obtained for the volume is 142.38 Å³ per cell. For the total energy, the calculation gives -4.3408 eV/atom. The calculation puts the formation energy from the elements at 0.9 eV/f.u.

Cell lengths 3.1322, 3.1322, 14.6808 Å; angles 96.12, 96.12, 90.00 degrees
Sites, in units of the cell vectors:
1 Mg 0.2906 0.2906 0.5812
2 Mg 0.7094 0.7094 0.4188
3 Tl 0.1302 0.1302 0.2605
4 Tl 0.8698 0.8698 0.7395
5 Hf 0.5507 0.5507 0.1014
6 Hf 0.4493 0.4493 0.8986

=====

Record 4
HfMgTl: relaxed, PBE.

Properties
Its space group is No. 107. The theoretical density is 9.92 Mg/m³. The value obtained for the volume is 68.14 Å³ per cell. For the total energy, the calculation gives -4.5297 eV/atom. The calculation puts the formation energy from the elements at 0.3 eV/f.u.

Cell lengths 3.1856, 3.1856, 7.0821 Å; angles 103.00, 103.00, 90.00 degrees
Sites, in units of the cell vectors:
1 Tl 0.6673 0.6673 0.3346
2 Hf 0.9982 0.9982 0.9963
3 Mg 0.3345 0.3345 0.6691

=====

Record 5
HfMgTl2: relaxed, PBE.

Properties
Its space group is No. 123. The theoretical density is 11.03 Mg/m³. The value obtained for the volume is 92.04 Å³ per cell. For the total energy, the calculation gives -3.9478 eV/atom. The calculation puts the formation energy from the elements at 0.5 eV/f.u.

Cell lengths 3.4736, 3.4736, 7.6280 Å; angles 90.00, 90.00, 90.00 degrees
Sites, in units of the cell vectors:
1 Tl 0.0000 0.0000 0.7557
2 Tl 0.0000 0.0000 0.2443
3 Hf 0.5000 0.5000 0.5000
4 Mg 0.5000 0.5000 0.0000

=====

Record 6
HfMgTl2: relaxed, PBE.

Properties
Its space group is No. 123. The theoretical density is 11.13 Mg/m³. The value obtained for the volume is 91.25 Å³ per cell. For the total energy, the calculation gives -3.9800 eV/atom. The calculation puts the formation energy from the elements at 0.4 eV/f.u.

Cell lengths 4.2617, 4.6272, 4.6272 Å; angles 90.00, 90.00, 90.00 degrees
Sites, in units of the cell vectors:
1 Tl 0.0000 0.0000 0.5000
2 Tl 0.0000 0.5000 0.0000
3 Hf 0.5000 0.5000 0.5000
4 Mg 0.5000 0.0000 0.0000

=====

Record 7
HfMg2Tl: relaxed, PBE.

Properties
Its space group is No. 160. The theoretical density is 7.67 Mg/m³. The value obtained for the volume is 93.40 Å³ per cell. For the total energy, the calculation gives -3.7888 eV/atom. The calculation puts the formation energy from the elements at 0.4 eV/f.u. The offset from the most stable computed form is 0.29 eV per formula unit.

Cell lengths 3.2144, 3.2144, 10.6010 Å; angles 81.28, 81.28, 60.00 degrees
Sites, in units of the cell vectors:
1 Hf 0.5005 0.5005 0.4985
2 Mg 0.0840 0.0840 0.7479
3 Mg 0.2490 0.2490 0.2529
4 Tl 0.6664 0.6664 0.0007

=====

Record 8
HfMgTl: relaxed, PBE.

Properties
Its space group is No. 187. The theoretical density is 10.23 Mg/m³. The value obtained for the volume is 66.11 Å³ per cell. For the total energy, the calculation gives -4.4993 eV/atom. The calculation puts the formation energy from the elements at 0.4 eV/f.u.

Cell lengths 3.2728, 4.8297, 4.8297 Å; angles 120.00, 90.00, 90.00 degrees
Sites, in units of the cell vectors:
1 Tl 0.5004 0.6667 0.3333
2 Hf 0.9998 0.0000 0.0000
3 Mg 0.4998 0.3333 0.6667

=====

Record 9
HfMg2Tl: relaxed, PBE.

Properties
Its space group is No. 123. The theoretical density is 7.81 Mg/m³. The value obtained for the volume is 91.69 Å³ per cell. For the total energy, the calculation gives -3.8205 eV/atom. The calculation puts the formation energy from the elements at 0.2 eV/f.u. The offset from the most stable computed form is 0.16 eV per formula unit.

Cell lengths 3.2533, 3.2533, 8.6627 Å; angles 90.00, 90.00, 90.00 degrees
Sites, in units of the cell vectors:
1 Tl 0.5000 0.5000 0.0000
2 Hf 0.5000 0.5000 0.5000
3 Mg 0.0000 0.0000 0.7439
4 Mg 0.0000 0.0000 0.2561

=====

Record 10
HfMg2Tl: relaxed, PBE.

Properties
Its space group is No. 225. The theoretical density is 7.91 Mg/m³. The value obtained for the volume is 90.58 Å³ per cell. For the total energy, the calculation gives -3.5749 eV/atom. The calculation puts the formation energy from the elements at 1.2 eV/f.u. The offset from the most stable computed form is 1.14 eV per formula unit.

Cell lengths 5.0410, 5.0410, 5.0410 Å; angles 60.00, 60.00, 60.00 degrees
Sites, in units of the cell vectors:
1 Tl 0.5000 0.5000 0.5000
2 Hf 0.0000 0.0000 0.0000
3 Mg 0.2500 0.2500 0.2500
4 Mg 0.7500 0.7500 0.7500

=====

Record 11
Hf2MgTl: relaxed, PBE.

Properties
Its space group is No. 99. The theoretical density is 10.56 Mg/m³. The value obtained for the volume is 92.06 Å³ per cell. For the total energy, the calculation gives -5.9667 eV/atom. The calculation puts the formation energy from the elements at 0.0 eV/f.u.

Cell lengths 3.1416, 3.1416, 9.3274 Å; angles 90.00, 90.00, 90.00 degrees
Sites, in units of the cell vectors:
1 Hf 0.0000 0.0000 0.0114
2 Hf 0.5000 0.5000 0.2372
3 Mg 0.5000 0.5000 0.7491
4 Tl 0.0000 0.0000 0.5023

=====

Record 12
Hf2Mg2Tl: relaxed, PBE.

Properties
Its space group is No. 127. The theoretical density is 9.15 Mg/m³. The value obtained for the volume is 221.42 Å³ per cell. For the total energy, the calculation gives -4.7455 eV/atom. The calculation puts the formation energy from the elements at 1.7 eV/f.u.

Cell lengths 8.0911, 8.0911, 3.3823 Å; angles 90.00, 90.00, 90.00 degrees
Sites, in units of the cell vectors:
1 Tl 0.0000 0.0000 0.0000
2 Tl 0.5000 0.5000 0.0000
3 Hf 0.1771 0.6771 0.5000
4 Hf 0.6771 0.8229 0.5000
5 Hf 0.8229 0.3229 0.5000
6 Hf 0.3229 0.1771 0.5000
7 Mg 0.3803 0.8803 0.0000
8 Mg 0.8803 0.6197 0.0000
9 Mg 0.6197 0.1197 0.0000
10 Mg 0.1197 0.3803 0.0000